Entry from Alexandria via LeMat-Bulk: a relaxed structure of LaMg2Si2 (PBE).

```
5
Lattice="-2.1662 2.1662 5.7587 2.1662 -2.1662 5.7587 2.1662 2.1662 -5.7587" Properties=species:S:1:pos:R:3 pbc="T T T"
La 0.0000 0.0000 0.0000
Mg 2.1662 0.0000 2.8793
Mg 0.0000 2.1662 2.8793
Si 0.0000 0.0000 4.5548
Si 0.0000 0.0000 6.9625
```

Results
As for the spin magnetization: 0.00 μB/f.u. For the energy relative to the elements, uncorrected, the calculation gives -228 kJ/mol of formula units. For the polymorph energy (0 for the lowest one), the calculation gives 13 meV/atom. As for the space group: No. 139.